# 1
AcTeRh2 | PBE-GGA | optimized geometry

a b c (Å): 4.525 4.525 5.816
angles (deg): 67.10 67.10 60.00
Sites, in units of the cell vectors:
Ac 0.000 0.000 0.000
Te 0.500 0.500 0.500
Rh 0.793 0.793 0.621
Rh 0.207 0.207 0.379

Calculated values
**Energy relative to the elements, uncorrected**: -0.68 eV/atom



# 2
Ac12Te3Rh5 | PBE-GGA | optimized geometry

a b c (Å): 15.940 15.940 15.940
angles (deg): 109.47 109.47 109.47
Sites, in units of the cell vectors:
Te 0.750 0.375 0.125
Te 0.875 0.750 0.125
Te 0.375 0.750 0.625
Te 0.250 0.125 0.375
Te 0.875 0.125 0.250
Te 0.375 0.625 0.250
Te 0.625 0.375 0.750
Te 0.125 0.875 0.750
Te 0.750 0.875 0.625
Te 0.625 0.250 0.375
Te 0.125 0.250 0.875
Te 0.250 0.625 0.875
Rh 0.125 0.375 0.250
Rh 0.000 0.500 0.000
Rh 0.000 0.000 0.000
Rh 0.375 0.250 0.125
Rh 0.500 0.000 0.500
Rh 0.500 0.500 0.000
Rh 0.125 0.750 0.375
Rh 0.750 0.125 0.875
Rh 0.750 0.625 0.375
Rh 0.375 0.125 0.750
Rh 0.625 0.875 0.250
Rh 0.500 0.500 0.500
Rh 0.500 0.000 0.000
Rh 0.000 0.000 0.500
Rh 0.250 0.375 0.625
Rh 0.250 0.875 0.125
Rh 0.000 0.500 0.500
Rh 0.875 0.250 0.625
Rh 0.625 0.750 0.875
Rh 0.875 0.625 0.750
Ac 0.704 0.118 0.027
Ac 0.323 0.527 0.409
Ac 0.973 0.382 0.296
Ac 0.527 0.204 0.118
Ac 0.586 0.704 0.677
Ac 0.973 0.591 0.177
Ac 0.323 0.796 0.414
Ac 0.091 0.914 0.118
Ac 0.591 0.973 0.677
Ac 0.704 0.586 0.177
Ac 0.796 0.473 0.382
Ac 0.823 0.909 0.027
Ac 0.118 0.704 0.527
Ac 0.382 0.409 0.086
Ac 0.086 0.909 0.382
Ac 0.414 0.118 0.591
Ac 0.086 0.177 0.204
Ac 0.473 0.677 0.091
Ac 0.823 0.914 0.296
Ac 0.118 0.414 0.091
Ac 0.382 0.973 0.796
Ac 0.591 0.618 0.414
Ac 0.909 0.823 0.527
Ac 0.796 0.323 0.914
Ac 0.409 0.382 0.586
Ac 0.091 0.177 0.473
Ac 0.204 0.677 0.086
Ac 0.177 0.086 0.704
Ac 0.618 0.027 0.204
Ac 0.882 0.586 0.909
Ac 0.527 0.323 0.909
Ac 0.586 0.882 0.409
Ac 0.914 0.823 0.796
Ac 0.914 0.091 0.618
Ac 0.882 0.296 0.473
Ac 0.177 0.091 0.973
Ac 0.618 0.591 0.914
Ac 0.409 0.027 0.323
Ac 0.296 0.414 0.823
Ac 0.204 0.527 0.618
Ac 0.909 0.086 0.882
Ac 0.677 0.204 0.586
Ac 0.473 0.796 0.882
Ac 0.027 0.409 0.823
Ac 0.414 0.296 0.323
Ac 0.027 0.618 0.704
Ac 0.677 0.473 0.591
Ac 0.296 0.882 0.973

Calculated values
**Energy relative to the elements, uncorrected**: -0.59 eV/atom



# 3
AcTeRh | PBE-GGA | optimized geometry

a b c (Å): 6.606 5.023 12.775
angles (deg): 137.22 140.90 48.92
Sites, in units of the cell vectors:
Te 0.235 0.743 0.468
Te 0.230 0.241 0.964
Ac 0.715 0.733 0.458
Ac 0.730 0.251 0.975
Rh 0.865 0.492 0.717
Rh 0.364 0.492 0.717

Calculated values
**Energy relative to the elements, uncorrected**: -0.92 eV/atom



# 4
AcTeRh | PBE-GGA | optimized geometry

a b c (Å): 4.908 4.908 4.908
angles (deg): 60.00 60.00 60.00
Sites, in units of the cell vectors:
Ac 0.500 0.500 0.500
Te 0.000 0.000 0.000
Rh 0.250 0.250 0.250

Calculated values
**Energy relative to the elements, uncorrected**: -1.01 eV/atom



# 5
AcTeRh | PBE-GGA | optimized geometry

a b c (Å): 3.696 3.696 6.259
angles (deg): 107.18 107.18 90.00
Sites, in units of the cell vectors:
Ac 0.011 0.011 0.021
Te 0.295 0.295 0.590
Rh 0.695 0.695 0.389

Calculated values
**Energy relative to the elements, uncorrected**: -0.48 eV/atom



# 6
AcTeRh | PBE-GGA | optimized geometry

a b c (Å): 4.661 6.972 10.557
angles (deg): 90.00 90.00 90.00
Sites, in units of the cell vectors:
Ac 0.750 0.708 0.402
Ac 0.250 0.208 0.098
Ac 0.250 0.292 0.598
Ac 0.750 0.792 0.902
Te 0.750 0.285 0.850
Te 0.250 0.785 0.650
Te 0.250 0.715 0.150
Te 0.750 0.215 0.350
Rh 0.750 0.926 0.172
Rh 0.250 0.426 0.328
Rh 0.250 0.074 0.828
Rh 0.750 0.574 0.672

Calculated values
**Energy relative to the elements, uncorrected**: -1.04 eV/atom



# 7
Ac6TeRh3 | PBE-GGA | optimized geometry

a b c (Å): 4.330 12.114 14.933
angles (deg): 115.94 90.00 90.00
Sites, in units of the cell vectors:
Ac 0.750 0.157 0.572
Ac 0.250 0.843 0.428
Ac 0.750 0.149 0.078
Ac 0.250 0.851 0.922
Ac 0.750 0.655 0.588
Ac 0.250 0.345 0.412
Ac 0.750 0.540 0.283
Ac 0.250 0.460 0.717
Ac 0.750 0.290 0.876
Ac 0.250 0.710 0.124
Ac 0.750 0.023 0.274
Ac 0.250 0.977 0.726
Te 0.750 0.612 0.920
Te 0.250 0.388 0.080
Rh 0.750 0.393 0.560
Rh 0.250 0.607 0.440
Rh 0.750 0.782 0.279
Rh 0.250 0.218 0.721
Rh 0.750 0.989 0.861
Rh 0.250 0.011 0.139

Calculated values
**Energy relative to the elements, uncorrected**: -0.75 eV/atom



# 8
Ac4Te3Rh | PBE-GGA | optimized geometry

a b c (Å): 4.507 8.239 8.239
angles (deg): 107.51 90.00 90.00
Sites, in units of the cell vectors:
Ac 0.000 0.214 0.214
Ac 0.500 0.767 0.233
Ac 0.000 0.786 0.786
Ac 0.500 0.233 0.767
Te 0.000 0.000 0.500
Te 0.500 0.500 0.500
Te 0.000 0.500 0.000
Rh 0.500 0.000 0.000

Calculated values
**Energy relative to the elements, uncorrected**: -1.28 eV/atom



# 9
Ac3Te12Rh5 | PBE-GGA | optimized geometry

a b c (Å): 14.820 14.820 14.820
angles (deg): 109.47 109.47 109.47
Sites, in units of the cell vectors:
Ac 0.750 0.375 0.125
Ac 0.875 0.750 0.125
Ac 0.375 0.750 0.625
Ac 0.250 0.125 0.375
Ac 0.875 0.125 0.250
Ac 0.375 0.625 0.250
Ac 0.625 0.375 0.750
Ac 0.125 0.875 0.750
Ac 0.750 0.875 0.625
Ac 0.625 0.250 0.375
Ac 0.125 0.250 0.875
Ac 0.250 0.625 0.875
Rh 0.125 0.375 0.250
Rh 0.000 0.500 0.000
Rh 0.000 0.000 0.000
Rh 0.375 0.250 0.125
Rh 0.500 0.000 0.500
Rh 0.500 0.500 0.000
Rh 0.125 0.750 0.375
Rh 0.750 0.125 0.875
Rh 0.750 0.625 0.375
Rh 0.375 0.125 0.750
Rh 0.625 0.875 0.250
Rh 0.500 0.500 0.500
Rh 0.500 0.000 0.000
Rh 0.000 0.000 0.500
Rh 0.250 0.375 0.625
Rh 0.250 0.875 0.125
Rh 0.000 0.500 0.500
Rh 0.875 0.250 0.625
Rh 0.625 0.750 0.875
Rh 0.875 0.625 0.750
Te 0.699 0.110 0.021
Te 0.322 0.521 0.411
Te 0.979 0.390 0.301
Te 0.521 0.199 0.110
Te 0.589 0.699 0.678
Te 0.979 0.589 0.178
Te 0.322 0.801 0.411
Te 0.089 0.911 0.110
Te 0.589 0.979 0.678
Te 0.699 0.589 0.178
Te 0.801 0.479 0.390
Te 0.822 0.911 0.021
Te 0.110 0.699 0.521
Te 0.390 0.411 0.089
Te 0.089 0.911 0.390
Te 0.411 0.110 0.589
Te 0.089 0.178 0.199
Te 0.479 0.678 0.089
Te 0.822 0.911 0.301
Te 0.110 0.411 0.089
Te 0.390 0.979 0.801
Te 0.589 0.610 0.411
Te 0.911 0.822 0.521
Te 0.801 0.322 0.911
Te 0.411 0.390 0.589
Te 0.089 0.178 0.479
Te 0.199 0.678 0.089
Te 0.178 0.089 0.699
Te 0.610 0.021 0.199
Te 0.890 0.589 0.911
Te 0.521 0.322 0.911
Te 0.589 0.890 0.411
Te 0.911 0.822 0.801
Te 0.911 0.089 0.610
Te 0.890 0.301 0.479
Te 0.178 0.089 0.979
Te 0.610 0.589 0.911
Te 0.411 0.021 0.322
Te 0.301 0.411 0.822
Te 0.199 0.521 0.610
Te 0.911 0.089 0.890
Te 0.678 0.199 0.589
Te 0.479 0.801 0.890
Te 0.021 0.411 0.822
Te 0.411 0.301 0.322
Te 0.021 0.610 0.699
Te 0.678 0.479 0.589
Te 0.301 0.890 0.979

Calculated values
**Energy relative to the elements, uncorrected**: -0.59 eV/atom



# 10
AcThTeRh | PBE-GGA | optimized geometry

a b c (Å): 4.251 4.251 8.425
angles (deg): 90.00 104.61 120.00
Sites, in units of the cell vectors:
Ac 0.498 0.147 0.660
Th 0.104 0.950 0.069
Te 0.957 0.376 0.348
Rh 0.319 0.557 0.892

Calculated values
**Energy relative to the elements, uncorrected**: -1.07 eV/atom



# 11
Ac4TlTe2Rh | PBE-GGA | optimized geometry

a b c (Å): 4.557 7.994 8.487
angles (deg): 107.95 90.00 90.00
Sites, in units of the cell vectors:
Ac 0.500 0.270 0.226
Ac 0.500 0.730 0.774
Ac 0.000 0.272 0.782
Ac 0.000 0.728 0.218
Tl 0.000 0.000 0.000
Te 0.500 0.000 0.500
Te 0.000 0.500 0.500
Rh 0.500 0.500 0.000

Calculated values
**Energy relative to the elements, uncorrected**: -0.95 eV/atom



# 12
Ac6ZnTe3Rh2 | PBE-GGA | optimized geometry

a b c (Å): 7.734 7.734 8.462
angles (deg): 98.75 98.75 119.92
Sites, in units of the cell vectors:
Ac 0.928 0.576 0.784
Ac 0.719 0.719 0.212
Ac 0.072 0.424 0.216
Ac 0.576 0.928 0.784
Ac 0.281 0.281 0.788
Ac 0.424 0.072 0.216
Zn 0.000 0.000 0.000
Te 0.161 0.839 0.500
Te 0.839 0.161 0.500
Te 0.500 0.500 0.500
Rh 0.333 0.667 0.000
Rh 0.667 0.333 0.000

Calculated values
**Energy relative to the elements, uncorrected**: -1.00 eV/atom



# 13
Ac3ThRh3 | PBE-GGA | optimized geometry

a b c (Å): 10.366 10.366 10.366
angles (deg): 109.47 109.47 109.47
Sites, in units of the cell vectors:
Ac 0.256 0.006 0.011
Ac 0.750 0.744 0.756
Ac 0.511 0.756 0.006
Ac 0.994 0.250 0.006
Ac 0.244 0.756 0.250
Ac 0.506 0.494 0.250
Ac 0.256 0.250 0.744
Ac 0.244 0.489 0.494
Ac 0.750 0.006 0.494
Ac 0.989 0.494 0.744
Ac 0.994 0.744 0.489
Ac 0.506 0.011 0.756
Th 0.750 0.500 0.000
Th 0.500 0.250 0.500
Th 0.750 0.250 0.250
Th 0.000 0.000 0.250
Rh 0.990 0.495 0.245
Rh 0.505 0.010 0.255
Rh 0.250 0.005 0.495
Rh 0.995 0.750 0.005
Rh 0.995 0.245 0.490
Rh 0.755 0.005 0.010
Rh 0.745 0.490 0.495
Rh 0.755 0.750 0.245
Rh 0.510 0.255 0.005
Rh 0.250 0.245 0.255
Rh 0.745 0.255 0.750
Rh 0.505 0.495 0.750

Calculated values
**Formation energy from the elements**: -67 kJ/mol of atoms



# 14
Ac5ThRh4 | PBE-GGA | optimized geometry

a b c (Å): 4.298 8.385 9.512
angles (deg): 104.28 103.06 90.00
Sites, in units of the cell vectors:
Ac 0.162 0.331 0.324
Ac 0.167 0.850 0.333
Ac 0.833 0.150 0.667
Ac 0.500 0.500 0.000
Ac 0.838 0.669 0.676
Th 0.500 0.000 0.000
Rh 0.665 0.097 0.329
Rh 0.999 0.242 0.998
Rh 0.335 0.903 0.671
Rh 0.001 0.758 0.002

Calculated values
**Formation energy from the elements**: -63 kJ/mol of atoms



# 15
Ac2ThRh2 | PBE-GGA | optimized geometry

a b c (Å): 6.935 7.735 7.735
angles (deg): 62.49 63.37 63.37
Sites, in units of the cell vectors:
Ac 0.342 0.287 0.029
Ac 0.658 0.713 0.971
Ac 0.158 0.971 0.713
Ac 0.842 0.029 0.287
Th 0.250 0.500 0.500
Th 0.750 0.500 0.500
Rh 0.091 0.649 0.168
Rh 0.909 0.351 0.832
Rh 0.409 0.832 0.351
Rh 0.591 0.168 0.649

Calculated values
**Formation energy from the elements**: -56 kJ/mol of atoms



# 16
AcTh2Rh4 | PBE-GGA | optimized geometry

a b c (Å): 7.481 7.481 7.481
angles (deg): 110.57 110.57 107.29
Sites, in units of the cell vectors:
Ac 0.250 0.750 0.500
Ac 0.000 0.000 0.000
Th 0.625 0.508 0.383
Th 0.125 0.242 0.617
Th 0.758 0.375 0.883
Th 0.492 0.875 0.117
Rh 0.709 0.965 0.557
Rh 0.541 0.598 0.756
Rh 0.408 0.152 0.443
Rh 0.848 0.291 0.256
Rh 0.035 0.592 0.744
Rh 0.842 0.786 0.244
Rh 0.214 0.459 0.057
Rh 0.402 0.158 0.943

Calculated values
**Formation energy from the elements**: -73 kJ/mol of atoms